(1)
The following is a PBE calculation of a relaxed La8Dy2Tm crystal, from Alexandria via LeMat-Bulk.

Structure (CIF):
```
data_La8Dy2Tm
_space_group_name_H-M_alt 'C 1 2/m 1'
_space_group_IT_number 12
_space_group_name_Hall '-C 2y'
_cell_length_a 18.688
_cell_length_b 5.216
_cell_length_c 8.229
_cell_angle_alpha 90.00
_cell_angle_beta 105.20
_cell_angle_gamma 90.00
loop_
_atom_site_label
_atom_site_type_symbol
_atom_site_fract_x
_atom_site_fract_y
_atom_site_fract_z
La1 La 0.047 0.000 0.228
La2 La 0.092 0.500 0.953
La3 La 0.137 0.000 0.685
La4 La 0.181 0.500 0.412
Dy1 Dy 0.226 0.000 0.134
Tm1 Tm 0.000 0.500 0.500
```

Computed properties:
As for the energy: -4.8058 eV per atom. For the energy above the lowest structure with this stoichiometry, the calculation gives 0 meV/atom. The calculation puts the energy relative to the elements at 0.021 eV per atom. The calculation puts the spin magnetization at 0.00 μB per atom.

(2)
The following is a PBE calculation of a relaxed LaDy3Tm2 crystal, from Alexandria via LeMat-Bulk.

Structure (CIF):
```
data_LaDy3Tm2
_space_group_name_H-M_alt 'C m c m'
_space_group_IT_number 63
_space_group_name_Hall '-C 2c 2'
_cell_length_a 3.579
_cell_length_b 18.572
_cell_length_c 11.552
_cell_angle_alpha 90.00
_cell_angle_beta 90.00
_cell_angle_gamma 90.00
loop_
_atom_site_label
_atom_site_type_symbol
_atom_site_fract_x
_atom_site_fract_y
_atom_site_fract_z
La1 La 0.000 0.221 0.250
Dy1 Dy 0.000 0.107 0.750
Dy2 Dy 0.000 0.336 0.003
Tm1 Tm 0.000 0.000 0.000
Tm2 Tm 0.000 0.446 0.750
```

Computed properties:
As for the energy: -4.5906 eV per atom. For the energy above the lowest structure with this stoichiometry, the calculation gives 0 meV/atom. The calculation puts the energy relative to the elements at 0.022 eV per atom. The calculation puts the spin magnetization at 0.00 μB per atom.

(3)
The following is a PBE calculation of a relaxed La4DyTm crystal, from Alexandria via LeMat-Bulk.

Structure (CIF):
```
data_La4DyTm
_space_group_name_H-M_alt 'C 1 2/m 1'
_space_group_IT_number 12
_space_group_name_Hall '-C 2y'
_cell_length_a 6.382
_cell_length_b 10.862
_cell_length_c 6.382
_cell_angle_alpha 90.00
_cell_angle_beta 109.93
_cell_angle_gamma 90.00
loop_
_atom_site_label
_atom_site_type_symbol
_atom_site_fract_x
_atom_site_fract_y
_atom_site_fract_z
La1 La 0.000 0.170 0.000
La2 La 0.000 0.329 0.500
Dy1 Dy 0.000 0.500 0.000
Tm1 Tm 0.000 0.000 0.500
```

Computed properties:
As for the energy: -4.7765 eV per atom. For the energy above the lowest structure with this stoichiometry, the calculation gives 0 meV/atom. The calculation puts the energy relative to the elements at 0.021 eV per atom. The calculation puts the spin magnetization at 0.00 μB per atom.

(4)
The following is a PBE calculation of a relaxed La2Dy3Tm4 crystal, from Alexandria via LeMat-Bulk.

Structure (CIF):
```
data_La2Dy3Tm4
_space_group_name_H-M_alt 'C 1 2/m 1'
_space_group_IT_number 12
_space_group_name_Hall '-C 2y'
_cell_length_a 15.143
_cell_length_b 5.051
_cell_length_c 7.964
_cell_angle_alpha 90.00
_cell_angle_beta 108.38
_cell_angle_gamma 90.00
loop_
_atom_site_label
_atom_site_type_symbol
_atom_site_fract_x
_atom_site_fract_y
_atom_site_fract_z
La1 La 0.165 0.000 0.000
Dy1 Dy 0.000 0.500 0.000
Dy2 Dy 0.110 0.500 0.663
Tm1 Tm 0.057 0.000 0.340
Tm2 Tm 0.222 0.500 0.339
```

Computed properties:
As for the energy: -4.5822 eV per atom. For the energy above the lowest structure with this stoichiometry, the calculation gives 0 meV/atom. The calculation puts the energy relative to the elements at 0.034 eV per atom. The calculation puts the spin magnetization at 0.00 μB per atom.

(5)
The following is a PBE calculation of a relaxed La5DyTm4 crystal, from Alexandria via LeMat-Bulk.

Structure (CIF):
```
data_La5DyTm4
_space_group_name_H-M_alt 'P 4/m m m'
_space_group_IT_number 123
_space_group_name_Hall '-P 4 2'
_cell_length_a 3.707
_cell_length_b 3.707
_cell_length_c 24.524
_cell_angle_alpha 90.00
_cell_angle_beta 90.00
_cell_angle_gamma 90.00
loop_
_atom_site_label
_atom_site_type_symbol
_atom_site_fract_x
_atom_site_fract_y
_atom_site_fract_z
La1 La 0.000 0.000 0.000
La2 La 0.000 0.000 0.199
La3 La 0.000 0.000 0.399
Dy1 Dy 0.500 0.500 0.500
Tm1 Tm 0.500 0.500 0.100
Tm2 Tm 0.500 0.500 0.299
```

Computed properties:
As for the energy: -4.6842 eV per atom. The calculation puts the energy relative to the elements at 0.028 eV per atom. The calculation puts the spin magnetization at 0.00 μB per atom.

(6)
The following is a PBE calculation of a relaxed La3Dy2Tm4 crystal, from Alexandria via LeMat-Bulk.

Structure (CIF):
```
data_La3Dy2Tm4
_space_group_name_H-M_alt 'C 1 2/c 1'
_space_group_IT_number 15
_space_group_name_Hall '-C 2yc'
_cell_length_a 16.603
_cell_length_b 11.781
_cell_length_c 6.063
_cell_angle_alpha 90.00
_cell_angle_beta 98.19
_cell_angle_gamma 90.00
loop_
_atom_site_label
_atom_site_type_symbol
_atom_site_fract_x
_atom_site_fract_y
_atom_site_fract_z
La1 La 0.000 0.117 0.250
La2 La 0.166 0.384 0.085
Dy1 Dy 0.116 0.127 0.804
Tm1 Tm 0.052 0.374 0.529
Tm2 Tm 0.221 0.128 0.359
```

Computed properties:
As for the energy: -4.5425 eV per atom. For the energy above the lowest structure with this stoichiometry, the calculation gives 35 meV/atom. The calculation puts the energy relative to the elements at 0.110 eV per atom. The calculation puts the spin magnetization at 0.00 μB per atom.

(7)
The following is a PBE calculation of a relaxed La2Dy2Tm5 crystal, from Alexandria via LeMat-Bulk.

Structure (CIF):
```
data_La2Dy2Tm5
_space_group_name_H-M_alt 'C 1 2/m 1'
_space_group_IT_number 12
_space_group_name_Hall '-C 2y'
_cell_length_a 21.598
_cell_length_b 3.474
_cell_length_c 8.247
_cell_angle_alpha 90.00
_cell_angle_beta 100.57
_cell_angle_gamma 90.00
loop_
_atom_site_label
_atom_site_type_symbol
_atom_site_fract_x
_atom_site_fract_y
_atom_site_fract_z
La1 La 0.180 0.000 0.141
Dy1 Dy 0.046 0.500 0.356
Tm1 Tm 0.000 0.000 0.000
Tm2 Tm 0.095 0.000 0.729
Tm3 Tm 0.191 0.500 0.534
```

Computed properties:
As for the energy: -4.3878 eV per atom. For the energy above the lowest structure with this stoichiometry, the calculation gives 3 meV/atom. The calculation puts the energy relative to the elements at 0.214 eV per atom. The calculation puts the spin magnetization at 0.00 μB per atom.

(8)
The following is a PBE calculation of a relaxed La16Dy7Tm6 crystal, from Alexandria via LeMat-Bulk.

Structure (CIF):
```
data_La16Dy7Tm6
_space_group_name_H-M_alt 'F m -3 m'
_space_group_IT_number 225
_space_group_name_Hall '-F 4 2 3'
_cell_length_a 16.184
_cell_length_b 16.184
_cell_length_c 16.184
_cell_angle_alpha 90.00
_cell_angle_beta 90.00
_cell_angle_gamma 90.00
loop_
_atom_site_label
_atom_site_type_symbol
_atom_site_fract_x
_atom_site_fract_y
_atom_site_fract_z
La1 La 0.125 0.125 0.125
La2 La 0.147 0.147 0.353
Dy1 Dy 0.000 0.000 0.000
Dy2 Dy 0.000 0.250 0.250
Tm1 Tm 0.000 0.000 0.258
```

Computed properties:
As for the energy: -4.5596 eV per atom. The calculation puts the energy relative to the elements at 0.195 eV per atom. The calculation puts the spin magnetization at 0.00 μB per atom.

(9)
The following is a PBE calculation of a relaxed La5DyTm3 crystal, from Alexandria via LeMat-Bulk.

Structure (CIF):
```
data_La5DyTm3
_space_group_name_H-M_alt 'C 1 2/c 1'
_space_group_IT_number 15
_space_group_name_Hall '-C 2yc'
_cell_length_a 19.002
_cell_length_b 6.549
_cell_length_c 11.529
_cell_angle_alpha 90.00
_cell_angle_beta 116.36
_cell_angle_gamma 90.00
loop_
_atom_site_label
_atom_site_type_symbol
_atom_site_fract_x
_atom_site_fract_y
_atom_site_fract_z
La1 La 0.000 0.100 0.250
La2 La 0.165 0.195 0.712
La3 La 0.174 0.326 0.360
Dy1 Dy 0.000 0.372 0.750
Tm1 Tm 0.000 0.500 0.000
Tm2 Tm 0.159 0.215 0.014
```

Computed properties:
As for the energy: -4.4912 eV per atom. The calculation puts the energy relative to the elements at 0.248 eV per atom. The calculation puts the spin magnetization at 0.00 μB per atom.